First-principles (PBE+U) data for crystalline SbWIO2 at its relaxed geometry, as listed in Alexandria via LeMat-Bulk.

Unit cell a=4.043 b=4.043 c=8.019 alpha=90.00 beta=90.00 gamma=90.00
Space group P4/mmm (No. 123)
Inequivalent atoms, fractional coordinates:
Sb 0.000 0.000 0.000 (multiplicity 1)
W 0.500 0.500 0.500 (multiplicity 1)
I 0.500 0.500 0.000 (multiplicity 1)
O 0.000 0.500 0.500 (multiplicity 2)

Values from the calculation:
Its total magnetization is 0.346 μB per atom. The polymorph energy (0 for the lowest one) is 0 meV/atom. The crystal system is tetragonal.